(1)
DFT (PBE-GGA) results for a geometry-optimized K3W structure.

Results
Energy relative to the elements: 6.025 eV/f.u.
E above lowest polymorph: 613 meV per atom
Mass density: 2.657 g/cm³
Volume: 47.06 A^3/atom
Crystal system: cubic
D(E_F): 0.562 states/eV/atom
DFT total energy: -2.555 eV/atom

a b c (Å): 5.731 5.731 5.731
angles (deg): 90.00 90.00 90.00
Positions (direct):
K (0.000, 0.000, 0.500)
K (0.000, 0.500, 0.000)
K (0.500, 0.000, 0.000)
W (0.500, 0.500, 0.500)

=====

(2)
DFT (PBE-GGA) results for a geometry-optimized LaSn6Bi structure.

Results
Energy relative to the elements: -1.430 eV/f.u.
Mass density: 7.720 g/cm³
Volume: 28.51 A^3/atom
Crystal system: tetragonal
D(E_F): 0.596 states/eV/atom
DFT total energy: -4.282 eV/atom

a b c (Å): 4.816 4.816 9.831
angles (deg): 90.00 90.00 90.00
Positions (direct):
La (0.000, 0.000, 0.000)
Sn (0.000, 0.500, 0.254)
Sn (0.000, 0.500, 0.746)
Sn (0.500, 0.000, 0.254)
Sn (0.500, 0.000, 0.746)
Sn (0.500, 0.500, 0.000)
Sn (0.500, 0.500, 0.500)
Bi (0.000, 0.000, 0.500)

=====

(3)
DFT (PBE-GGA) results for a geometry-optimized LiGd2Ta structure.

Results
Energy relative to the elements: 2.415 eV/f.u.
Mass density: 8.330 g/cm³
Volume: 25.04 A^3/atom
Crystal system: trigonal
D(E_F): 1.389 states/eV/atom
DFT total energy: -9.878 eV/atom

a b c (Å): 3.150 3.150 34.972
angles (deg): 90.00 90.00 120.00
Positions (direct):
Li (0.000, 0.000, 0.000)
Li (0.333, 0.667, 0.667)
Li (0.667, 0.333, 0.333)
Gd (0.000, 0.000, 0.416)
Gd (0.000, 0.000, 0.584)
Gd (0.333, 0.667, 0.083)
Gd (0.333, 0.667, 0.250)
Gd (0.667, 0.333, 0.750)
Gd (0.667, 0.333, 0.917)
Ta (0.000, 0.000, 0.500)
Ta (0.333, 0.667, 0.167)
Ta (0.667, 0.333, 0.833)

=====

(4)
DFT (PBE-GGA) results for a geometry-optimized CsTaPSe6 structure.

Results
Mass density: 4.436 g/cm³
Volume: 34.04 A^3/atom
Raw formation energy: -0.39 eV per atom
Crystal system: trigonal
D(E_F): 0.936 states/eV/atom
DFT total energy: -4.722 eV/atom

a b c (Å): 6.412 6.412 8.605
angles (deg): 90.00 90.00 120.00
Positions (direct):
Cs (0.000, 0.000, 0.000)
Ta (0.333, 0.667, 0.500)
P (0.667, 0.333, 0.500)
Se (0.380, 0.012, 0.672)
Se (0.380, 0.368, 0.328)
Se (0.632, 0.012, 0.328)
Se (0.632, 0.620, 0.672)
Se (0.988, 0.368, 0.672)
Se (0.988, 0.620, 0.328)

=====

(5)
DFT (PBE-GGA) results for a geometry-optimized LiPr2Ge3Pd4 structure.

Results
Energy relative to the elements: -8.077 eV/f.u.
Mass density: 8.070 g/cm³
Volume: 19.18 A^3/atom
Crystal system: tetragonal
D(E_F): 0.617 states/eV/atom
DFT total energy: -5.417 eV/atom

a b c (Å): 4.318 4.318 10.290
angles (deg): 90.00 90.00 90.00
Positions (direct):
Li (0.000, 0.000, 0.000)
Pr (0.000, 0.500, 0.750)
Pr (0.500, 0.000, 0.250)
Ge (0.000, 0.500, 0.367)
Ge (0.500, 0.000, 0.633)
Ge (0.500, 0.500, 0.000)
Pd (0.000, 0.000, 0.500)
Pd (0.000, 0.500, 0.126)
Pd (0.500, 0.000, 0.874)
Pd (0.500, 0.500, 0.500)

=====

(6)
DFT (PBE-GGA) results for a geometry-optimized Ca2SiGe2Au4 structure.

Results
Mass density: 9.019 g/cm³
Volume: 21.30 A^3/atom
Raw formation energy: -0.42 eV per atom
Crystal system: tetragonal
D(E_F): 0.548 states/eV/atom
DFT total energy: -3.954 eV/atom

a b c (Å): 6.474 6.474 6.474
angles (deg): 120.05 120.05 89.92
Positions (direct):
Ca (0.250, 0.750, 0.500)
Ca (0.750, 0.250, 0.500)
Si (0.000, 0.000, 0.000)
Ge (0.315, 0.315, 0.000)
Ge (0.685, 0.685, 0.000)
Au (0.265, 0.265, 0.530)
Au (0.265, 0.735, 0.000)
Au (0.735, 0.265, 0.000)
Au (0.735, 0.735, 0.470)

=====

(7)
DFT (PBE-GGA) results for a geometry-optimized InB structure.

Results
Energy relative to the elements: 0.842 eV/f.u.
E above lowest polymorph: 58 meV per atom
Mass density: 5.387 g/cm³
Volume: 19.36 A^3/atom
Crystal system: triclinic
D(E_F): 0.240 states/eV/atom
DFT total energy: -4.287 eV/atom

a b c (Å): 3.173 3.928 6.302
angles (deg): 90.40 99.51 90.09
Positions (direct):
In (0.000, 0.000, 0.000)
In (0.327, 0.498, 0.648)
B (0.401, 0.502, 0.256)
B (0.901, 0.502, 0.245)

=====

(8)
DFT (PBE-GGA) results for a geometry-optimized KTcPb2 structure.

Results
Energy relative to the elements: 2.184 eV/f.u.
E above lowest polymorph: 296 meV per atom
Mass density: 5.084 g/cm³
Volume: 45.04 A^3/atom
Crystal system: tetragonal
D(E_F): 0.032 states/eV/atom
DFT total energy: -4.174 eV/atom

a b c (Å): 6.775 6.775 15.699
angles (deg): 90.00 90.00 90.00
Positions (direct):
K (0.000, 0.000, 0.000)
K (0.000, 0.500, 0.250)
K (0.500, 0.000, 0.750)
K (0.500, 0.500, 0.500)
Tc (0.000, 0.000, 0.500)
Tc (0.000, 0.500, 0.750)
Tc (0.500, 0.000, 0.250)
Tc (0.500, 0.500, 0.000)
Pb (0.002, 0.250, 0.625)
Pb (0.250, 0.502, 0.875)
Pb (0.250, 0.998, 0.375)
Pb (0.498, 0.250, 0.125)
Pb (0.502, 0.750, 0.125)
Pb (0.750, 0.002, 0.375)
Pb (0.750, 0.498, 0.875)
Pb (0.998, 0.750, 0.625)